Entry from Alexandria: a geometry-optimized Pr2Dy6Y3Pu structure (GGA-PBE).

The calculation puts the energy relative to the elements at 0.63 eV/f.u.

It has space group C2/m (No. 12), with a = 6.1843 Å, b = 10.7227 Å, c = 11.7906 Å, α = 90.00°, β = 100.12° and γ = 90.00°. The distinct sites, in fractional coordinates, are Pr at (0.0000, 0.1665, 0.0000), Dy at (0.2456, 0.5000, 0.7493), Dy at (0.2475, 0.3356, 0.2505), Y at (0.0000, 0.0000, 0.5000), Y at (0.0000, 0.3333, 0.5000) and Pu at (0.0000, 0.5000, 0.0000).

***

Entry from Alexandria: a geometry-optimized NaTbTlBi structure (GGA-PBE).

The calculation puts the energy relative to the elements at -1.20 eV/f.u.

It has space group F-43m (No. 216), with a = 7.7192 Å, b = 7.7192 Å, c = 7.7192 Å, α = 90.00°, β = 90.00° and γ = 90.00°. The distinct sites, in fractional coordinates, are Na at (0.0000, 0.0000, 0.0000), Tb at (0.0000, 0.0000, 0.5000), Tl at (0.2500, 0.2500, 0.7500) and Bi at (0.2500, 0.2500, 0.2500).

***

Entry from Alexandria: a geometry-optimized MnPH2 structure (GGA-PBE).

The total DFT energy (no corrections) comes out at -5.306 eV per atom.

It has space group Imm2 (No. 44), with a = 2.8284 Å, b = 2.9850 Å, c = 7.1182 Å, α = 90.00°, β = 90.00° and γ = 90.00°. The distinct sites, in fractional coordinates, are Mn at (0.0000, 0.0000, 0.0000), P at (0.0000, 0.0000, 0.3503), H at (0.0000, 0.0000, 0.7836) and H at (0.0000, 0.5000, 0.6257).

***

no.,D(E_F) (states/eV/f.u.)
1,26.24
2,2.93
3,0.27